## LiLa2Os (GGA-PBE)

Data for LiLa2Os after structural relaxation.

The structure belongs to space group C2/m (No. 12); the cell edges are 7.261, 4.190 and 9.031 Å and the angles 90.00°, 105.78° and 90.00°. The distinct sites, in fractional coordinates, are Li at (0.000, 0.000, 0.000), La at (0.225, 0.000, 0.673) and Os at (0.000, 0.500, 0.500).

Its total DFT energy (no corrections) is -5.7330 eV/atom. As for the total magnetization: 0.00 μB/f.u. For the density of states at the Fermi level, the calculation gives 0.67 states/eV per atom. The calculation puts the energy relative to the lowest polymorph listed for this composition at 74 meV/atom.